First-principles (PBE) data for a relaxed structure of LiHgBi3, as listed in Alexandria.

## Properties
Energy above the most stable polymorph in this dataset   0 meV per atom
DOS at the Fermi energy   2.035 states/eV/cell
V   31.02 Å³ per atom
Space group   P1, No. 1

abc: 4.5661 4.9387 7.1489
angles: 76.89 81.11 88.70
Positions (direct):
Li (0.0000, 0.0000, 0.0000)
Hg (0.5687, 0.0947, 0.7343)
Bi (0.1409, 0.1125, 0.4007)
Bi (0.4945, 0.5138, 0.0118)
Bi (0.6361, 0.6678, 0.3978)

First-principles (PBE) data for a relaxed structure of Nd3Hg, as listed in Alexandria.

## Properties
Energy above the most stable polymorph in this dataset   66 meV per atom
DOS at the Fermi energy   4.772 states/eV/cell
V   30.21 Å³ per atom
Space group   I4/mmm, No. 139

abc: 6.1604 6.1604 6.1604
angles: 133.52 133.52 67.84
Positions (direct):
Nd (0.0000, 0.0000, 0.0000)
Nd (0.2500, 0.7500, 0.5000)
Nd (0.7500, 0.2500, 0.5000)
Hg (0.5000, 0.5000, 0.0000)

First-principles (PBE) data for a relaxed structure of MnTe2Pb, as listed in Alexandria.

## Properties
E   -4.61 eV per atom
DOS at the Fermi energy   2.174 states/eV/cell
V   27.92 Å³ per atom
Space group   P4/mmm, No. 123

abc: 5.3933 5.3933 3.8392
angles: 90.00 90.00 90.00
Positions (direct):
Mn (0.0000, 0.0000, 0.0000)
Te (0.0000, 0.5000, 0.5000)
Te (0.5000, 0.0000, 0.5000)
Pb (0.5000, 0.5000, 0.0000)

First-principles (PBE) data for a relaxed structure of In5Br, as listed in Alexandria.

## Properties
Energy above the most stable polymorph in this dataset   114 meV per atom
DOS at the Fermi energy   3.920 states/eV/cell
V   31.15 Å³ per atom
Space group   P6/mmm, No. 191

abc: 6.0987 6.0987 5.8029
angles: 90.00 90.00 120.00
Positions (direct):
In (0.0000, 0.5000, 0.0000)
In (0.3333, 0.6667, 0.5000)
In (0.5000, 0.0000, 0.0000)
In (0.5000, 0.5000, 0.0000)
In (0.6667, 0.3333, 0.5000)
Br (0.0000, 0.0000, 0.5000)

First-principles (PBE) data for a relaxed structure of SiGeAu, as listed in Alexandria.

## Properties
Energy above the most stable polymorph in this dataset   71 meV per atom
DOS at the Fermi energy   3.361 states/eV/cell
V   19.27 Å³ per atom
Space group   P2_1/c, No. 14

abc: 6.3923 6.0919 6.0993
angles: 90.00 103.15 90.00
Positions (direct):
Si (0.2231, 0.0341, 0.2457)
Si (0.2231, 0.4659, 0.7457)
Si (0.7769, 0.5341, 0.2543)
Si (0.7769, 0.9659, 0.7543)
Ge (0.1678, 0.0683, 0.8285)
Ge (0.1678, 0.4317, 0.3285)
Ge (0.8322, 0.5683, 0.6715)
Ge (0.8322, 0.9317, 0.1715)
Au (0.3716, 0.6747, 0.1023)
Au (0.3716, 0.8253, 0.6023)
Au (0.6284, 0.1747, 0.3977)
Au (0.6284, 0.3253, 0.8977)

First-principles (PBE) data for a relaxed structure of BaLa2Ir, as listed in Alexandria.

## Properties
Energy above the most stable polymorph in this dataset   180 meV per atom
DOS at the Fermi energy   5.162 states/eV/cell
V   38.66 Å³ per atom
Space group   Cm, No. 8

abc: 6.7778 6.7778 6.9891
angles: 120.25 120.25 34.54
Positions (direct):
Ba (0.0000, 0.0000, 0.0000)
La (0.1751, 0.1751, 0.6556)
La (0.3528, 0.3528, 0.3622)
Ir (0.7396, 0.7396, 0.4652)

First-principles (PBE) data for a relaxed structure of KBaAs2, as listed in Alexandria.

## Properties
Energy above the most stable polymorph in this dataset   318 meV per atom
DOS at the Fermi energy   3.702 states/eV/cell
V   31.37 Å³ per atom
Space group   Fm-3m, No. 225

abc: 5.6194 5.6194 5.6194
angles: 60.00 60.00 60.00
Positions (direct):
K (0.0000, 0.0000, 0.0000)
Ba (0.5000, 0.5000, 0.5000)
As (0.2500, 0.2500, 0.2500)
As (0.7500, 0.7500, 0.7500)

First-principles (PBE) data for a relaxed structure of NdDy6Y, as listed in Alexandria.

## Properties
Energy above the most stable polymorph in this dataset   0 meV per atom
DOS at the Fermi energy   9.735 states/eV/cell
V   32.00 Å³ per atom
Space group   P4/mmm, No. 123

abc: 7.1317 7.1317 5.0332
angles: 90.00 90.00 90.00
Positions (direct):
Nd (0.0000, 0.0000, 0.0000)
Dy (0.0000, 0.5000, 0.0000)
Dy (0.2509, 0.2509, 0.5000)
Dy (0.2509, 0.7491, 0.5000)
Dy (0.5000, 0.0000, 0.0000)
Dy (0.7491, 0.2509, 0.5000)
Dy (0.7491, 0.7491, 0.5000)
Y (0.5000, 0.5000, 0.0000)

First-principles (PBE) data for a relaxed structure of AcNd14Sm, as listed in Alexandria.

## Properties
E   -4.69 eV per atom
DOS at the Fermi energy   29.670 states/eV/cell
V   36.03 Å³ per atom
Space group   Amm2, No. 38

abc: 12.0138 7.4444 7.4444
angles: 59.97 90.00 90.00
Positions (direct):
Ac (0.0000, 0.0000, 0.0000)
Nd (0.0000, 0.5014, 0.9983)
Nd (0.0000, 0.9983, 0.5014)
Nd (0.2491, 0.3331, 0.3331)
Nd (0.2523, 0.3351, 0.8321)
Nd (0.2523, 0.8321, 0.3351)
Nd (0.2530, 0.8325, 0.8325)
Nd (0.5000, 0.0000, 0.0000)
Nd (0.5000, 0.0004, 0.4996)
Nd (0.5000, 0.4994, 0.4994)
Nd (0.5000, 0.4996, 0.0004)
Nd (0.7470, 0.8325, 0.8325)
Nd (0.7477, 0.3351, 0.8321)
Nd (0.7477, 0.8321, 0.3351)
Nd (0.7509, 0.3331, 0.3331)
Sm (0.0000, 0.5009, 0.5009)

First-principles (PBE) data for a relaxed structure of RbCuBi2Se4, as listed in Alexandria.

## Properties
E   -3.88 eV per atom
DOS at the Fermi energy   0.863 states/eV/cell
V   29.15 Å³ per atom
Space group   Cmcm, No. 63

abc: 7.6049 7.6049 15.0684
angles: 90.00 90.00 147.64
Positions (direct):
Rb (0.1069, 0.8931, 0.7500)
Rb (0.8931, 0.1069, 0.2500)
Cu (0.1558, 0.8442, 0.2500)
Cu (0.8442, 0.1558, 0.7500)
Bi (0.3653, 0.6347, 0.5585)
Bi (0.3653, 0.6347, 0.9415)
Bi (0.6347, 0.3653, 0.0585)
Bi (0.6347, 0.3653, 0.4415)
Se (0.0000, 0.0000, 0.0000)
Se (0.0000, 0.0000, 0.5000)
Se (0.2613, 0.7387, 0.1111)
Se (0.2613, 0.7387, 0.3889)
Se (0.4222, 0.5778, 0.7500)
Se (0.5778, 0.4222, 0.2500)
Se (0.7387, 0.2613, 0.6111)
Se (0.7387, 0.2613, 0.8889)

First-principles (PBE) data for a relaxed structure of MnTcRu, as listed in Alexandria.

## Properties
Energy above the most stable polymorph in this dataset   12 meV per atom
DOS at the Fermi energy   3.823 states/eV/cell
V   13.46 Å³ per atom
Space group   Imm2, No. 44

abc: 4.6171 4.6171 4.6171
angles: 146.28 131.78 60.13
Positions (direct):
Mn (0.0000, 0.0000, 0.0000)
Tc (0.3334, 0.3334, 0.0000)
Ru (0.6626, 0.6626, 0.0000)

First-principles (PBE) data for a relaxed structure of K2Rb2Sr, as listed in Alexandria.

## Properties
Energy above the most stable polymorph in this dataset   261 meV per atom
DOS at the Fermi energy   4.418 states/eV/cell
V   108.29 Å³ per atom
Space group   I4/mmm, No. 139

abc: 17.0577 17.0577 17.0577
angles: 160.71 160.71 27.41
Positions (direct):
K (0.1306, 0.1306, 0.0000)
K (0.8694, 0.8694, 0.0000)
Rb (0.2500, 0.7500, 0.5000)
Rb (0.7500, 0.2500, 0.5000)
Sr (0.0000, 0.0000, 0.0000)

First-principles (PBE) data for a relaxed structure of Li5SnO5, as listed in Alexandria.

## Properties
E   -5.20 eV per atom
DOS at the Fermi energy   6.605 states/eV/cell
V   10.49 Å³ per atom
Space group   C2/m, No. 12

abc: 5.3598 5.3598 5.9404
angles: 107.28 107.28 45.58
Positions (direct):
Li (0.0000, 0.0000, 0.0000)
Li (0.2899, 0.2899, 0.1582)
Li (0.3127, 0.3127, 0.6372)
Li (0.6873, 0.6873, 0.3628)
Li (0.7101, 0.7101, 0.8418)
Sn (0.0000, 0.0000, 0.5000)
O (0.1479, 0.1479, 0.3215)
O (0.1619, 0.1619, 0.8255)
O (0.5000, 0.5000, 0.5000)
O (0.8381, 0.8381, 0.1745)
O (0.8521, 0.8521, 0.6785)

First-principles (PBE) data for a relaxed structure of Ca3Pu2Rh4, as listed in Alexandria.

## Properties
E   -7.54 eV per atom
DOS at the Fermi energy   14.838 states/eV/cell
V   23.68 Å³ per atom
Space group   C2/m, No. 12

abc: 5.9985 5.9985 9.1809
angles: 101.17 101.17 41.25
Positions (direct):
Ca (0.0000, 0.0000, 0.0000)
Ca (0.3733, 0.3733, 0.6120)
Ca (0.6267, 0.6267, 0.3880)
Pu (0.3274, 0.3274, 0.2138)
Pu (0.6726, 0.6726, 0.7862)
Rh (0.0886, 0.0886, 0.6245)
Rh (0.2906, 0.2906, 0.9074)
Rh (0.7094, 0.7094, 0.0926)
Rh (0.9114, 0.9114, 0.3755)

First-principles (PBE) data for a relaxed structure of Ba2ScMo, as listed in Alexandria.

## Properties
Energy above the most stable polymorph in this dataset   464 meV per atom
DOS at the Fermi energy   4.254 states/eV/cell
V   33.13 Å³ per atom
Space group   I4/mmm, No. 139

abc: 6.0582 6.0582 6.0582
angles: 128.47 128.47 75.86
Positions (direct):
Ba (0.2500, 0.7500, 0.5000)
Ba (0.7500, 0.2500, 0.5000)
Sc (0.0000, 0.0000, 0.0000)
Mo (0.5000, 0.5000, 0.0000)

First-principles (PBE) data for a relaxed structure of BeHS2, as listed in Alexandria.

## Properties
Energy above the most stable polymorph in this dataset   102 meV per atom
DOS at the Fermi energy   5.111 states/eV/cell
V   12.90 Å³ per atom
Space group   I-42d, No. 122

abc: 5.6856 5.6856 5.6856
angles: 130.72 130.72 72.25
Positions (direct):
Be (0.0000, 0.0000, 0.0000)
Be (0.7500, 0.2500, 0.5000)
H (0.2500, 0.7500, 0.5000)
H (0.5000, 0.5000, 0.0000)
S (0.1422, 0.6250, 0.0172)
S (0.3750, 0.3922, 0.5172)
S (0.6078, 0.1250, 0.9828)
S (0.8750, 0.8578, 0.4828)

First-principles (PBE) data for a relaxed structure of CaTlTe2, as listed in Alexandria.

## Properties
E   -3.36 eV per atom
DOS at the Fermi energy   4.506 states/eV/cell
V   31.33 Å³ per atom
Space group   Fm-3m, No. 225

abc: 5.6174 5.6174 5.6174
angles: 60.00 60.00 60.00
Positions (direct):
Ca (0.0000, 0.0000, 0.0000)
Tl (0.5000, 0.5000, 0.5000)
Te (0.2500, 0.2500, 0.2500)
Te (0.7500, 0.7500, 0.7500)

First-principles (PBE) data for a relaxed structure of Co3BiS, as listed in Alexandria.

## Properties
Energy above the most stable polymorph in this dataset   0 meV per atom
DOS at the Fermi energy   6.381 states/eV/cell
V   15.31 Å³ per atom
Space group   Pm-3m, No. 221

abc: 4.2457 4.2457 4.2457
angles: 90.00 90.00 90.00
Positions (direct):
Co (0.0000, 0.0000, 0.5000)
Co (0.0000, 0.5000, 0.0000)
Co (0.5000, 0.0000, 0.0000)
Bi (0.5000, 0.5000, 0.5000)
S (0.0000, 0.0000, 0.0000)

First-principles (PBE) data for a relaxed structure of DyAsPd6, as listed in Alexandria.

## Properties
E   -5.42 eV per atom
DOS at the Fermi energy   4.820 states/eV/cell
V   17.32 Å³ per atom
Space group   C2/m, No. 12

abc: 5.6173 5.6173 5.6229
angles: 109.03 109.03 109.16
Positions (direct):
Dy (0.0000, 0.0000, 0.0000)
As (0.5000, 0.5000, 0.5000)
Pd (0.2454, 0.7143, 0.2457)
Pd (0.2457, 0.2457, 0.7145)
Pd (0.2857, 0.7546, 0.7543)
Pd (0.7143, 0.2454, 0.2457)
Pd (0.7543, 0.7543, 0.2855)
Pd (0.7546, 0.2857, 0.7543)

First-principles (PBE) data for a relaxed structure of AgMo2IrPt, as listed in Alexandria.

## Properties
E   -5.96 eV per atom
DOS at the Fermi energy   7.675 states/eV/cell
V   21.71 Å³ per atom
Space group   P4/mmm, No. 123

abc: 4.7279 4.7279 4.8573
angles: 90.00 90.00 90.00
Positions (direct):
Ag (0.0000, 0.0000, 0.0000)
Mo (0.0000, 0.5000, 0.5000)
Mo (0.5000, 0.0000, 0.5000)
Ir (0.5000, 0.5000, 0.0000)
Pt (0.0000, 0.0000, 0.5000)